# TmInPd4

Crystalline TmInPd4 at its relaxed geometry (GGA-PBE, Alexandria via LeMat-Bulk).

## Properties
The value obtained for the distance to the lowest polymorph of the same formula is 29 meV per atom. The calculated density comes out at 10.808 Mg/m³. For the density of states at the Fermi level, the calculation gives 2.00 states/eV/cell.

abc: 5.362 5.362 5.362
angles: 60.00 60.00 60.00
Fractional coordinates of all 6 atoms:
Tm1 0.000 0.000 0.000
In1 0.250 0.250 0.250
Pd1 0.126 0.625 0.625
Pd2 0.625 0.126 0.625
Pd3 0.625 0.625 0.126
Pd4 0.625 0.625 0.625


# RbCdSb2S

Crystalline RbCdSb2S at its relaxed geometry (GGA-PBE, Alexandria via LeMat-Bulk).

## Properties
The calculated density comes out at 4.559 Mg/m³. For the density of states at the Fermi level, the calculation gives 3.96 states/eV/cell.

abc: 5.313 5.313 6.109
angles: 90.00 90.00 90.00
Fractional coordinates of all 5 atoms:
Rb1 0.000 0.000 0.000
Cd1 0.500 0.500 0.000
Sb1 0.000 0.500 0.500
Sb2 0.500 0.000 0.500
S1 0.000 0.000 0.500


Number 1: VASP energy -0.391 Ry/atom. Number 2: VASP energy -0.202 Ry/atom.